Run one
VP4O12 after structural relaxation. Source: the Alexandria database, functional PBEsol.

N(E_F)	22.260	states/eV/cell
calculated density	2.6	g cm⁻³

Unit cell a=12.960 b=8.126 c=9.054 alpha=90.00 beta=90.00 gamma=90.00
Space group Pbcn (No. 60)
Inequivalent atoms, fractional coordinates:
1 V 0.000 0.154 0.250 x4
2 P 0.145 0.045 0.521 x8
3 P 0.151 0.317 0.007 x8
4 O 0.067 0.024 0.643 x8
5 O 0.074 0.299 0.135 x8
6 O 0.112 0.150 0.393 x8
7 O 0.127 0.418 0.878 x8
8 O 0.181 0.130 0.962 x8
9 O 0.244 0.126 0.592 x8


Run two
VP4O12 after structural relaxation. Source: the Alexandria database, functional PBEsol.

N(E_F)	21.297	states/eV/cell
calculated density	2.8	g cm⁻³

Unit cell a=9.309 b=13.644 c=7.538 alpha=90.00 beta=112.46 gamma=90.00
Space group C2/c (No. 15)
Inequivalent atoms, fractional coordinates:
1 V 0.000 0.134 0.250 x4
2 P 0.053 0.334 0.095 x8
3 P 0.136 0.080 0.698 x8
4 O 0.000 0.127 0.750 x4
5 O 0.000 0.389 0.250 x4
6 O 0.059 0.343 0.602 x8
7 O 0.109 0.231 0.183 x8
8 O 0.120 0.030 0.193 x8
9 O 0.141 0.126 0.518 x8
10 O 0.213 0.391 0.125 x8


Relative stability in meV/atom, measured from the most stable structure: run one 0; run two 17


Run one
KCd2Ag after structural relaxation. Source: the Alexandria database, functional PBEsol.

N(E_F)	1.351	states/eV/cell
calculated density	6.2	g cm⁻³

Unit cell a=3.477 b=3.477 c=8.245 alpha=90.00 beta=90.00 gamma=90.00
Space group P4/mmm (No. 123)
Inequivalent atoms, fractional coordinates:
1 K 0.000 0.000 0.000 x1
2 Cd 0.500 0.500 0.314 x2
3 Ag 0.000 0.000 0.500 x1


Run two
KCd2Ag after structural relaxation. Source: the Alexandria database, functional PBEsol.

N(E_F)	4.755	states/eV/cell
calculated density	6.7	g cm⁻³

Unit cell a=3.1992 b=3.1992 c=31.3264 alpha=90.00 beta=90.00 gamma=120.00
Space group R-3m (No. 166, hexagonal axes)
Inequivalent atoms, fractional coordinates:
1 K 0.0000 0.0000 0.0000 x3
2 Cd 0.0000 0.0000 0.2382 x6
3 Ag 0.0000 0.0000 0.5000 x3


Relative stability in meV/atom, measured from the most stable structure: run one 0; run two 127


Run one
SbP2Cl after structural relaxation. Source: the Alexandria database, functional PBEsol.

N(E_F)	10.864	states/eV/cell
calculated density	5.0	g cm⁻³

Unit cell a=6.619 b=6.619 c=6.619 alpha=90.00 beta=90.00 gamma=90.00
Space group F-43m (No. 216)
Inequivalent atoms, fractional coordinates:
1 Sb 0.000 0.000 0.000 x4
2 P 0.000 0.000 0.500 x4
3 P 0.250 0.250 0.750 x4
4 Cl 0.250 0.250 0.250 x4


Run two
SbP2Cl after structural relaxation. Source: the Alexandria database, functional PBEsol.

N(E_F)	7.369	states/eV/cell
calculated density	4.4	g cm⁻³

Unit cell a=3.8713 b=3.8713 c=19.0225 alpha=90.00 beta=90.00 gamma=120.00
Space group R-3m (No. 166, hexagonal axes)
Inequivalent atoms, fractional coordinates:
1 Sb 0.0000 0.0000 0.0000 x3
2 P 0.0000 0.0000 0.2563 x6
3 Cl 0.0000 0.0000 0.5000 x3


Relative stability in meV/atom, measured from the most stable structure: run one 105; run two 0


Run one
ScTc2Os after structural relaxation. Source: the Alexandria database, functional PBEsol.

N(E_F)	2.956	states/eV/cell
calculated density	12.0	g cm⁻³

Unit cell a=3.052 b=4.375 c=4.463 alpha=90.00 beta=90.00 gamma=90.00
Space group Pmmm (No. 47)
Inequivalent atoms, fractional coordinates:
1 Sc 0.000 0.000 0.000 x1
2 Tc 0.000 0.500 0.500 x1
3 Tc 0.500 0.000 0.500 x1
4 Os 0.500 0.500 0.000 x1


Run two
ScTc2Os after structural relaxation. Source: the Alexandria database, functional PBEsol.

N(E_F)	3.498	states/eV/cell
calculated density	11.7	g cm⁻³

Unit cell a=2.781 b=2.781 c=7.937 alpha=90.00 beta=90.00 gamma=90.00
Space group P4mm (No. 99)
Inequivalent atoms, fractional coordinates:
1 Sc 0.000 0.000 0.000 x1
2 Tc 0.000 0.000 0.515 x1
3 Tc 0.500 0.500 0.278 x1
4 Os 0.500 0.500 0.732 x1


Relative stability in meV/atom, measured from the most stable structure: run one 0; run two 69


Run one
WBr3 after structural relaxation. Source: the Alexandria database, functional PBEsol.

N(E_F)	3.362	states/eV/cell
calculated density	8.1	g cm⁻³

Unit cell a=4.435 b=4.435 c=4.435 alpha=90.00 beta=90.00 gamma=90.00
Space group Pm-3m (No. 221)
Inequivalent atoms, fractional coordinates:
1 W 0.000 0.000 0.000 x1
2 Br 0.000 0.500 0.500 x3


Run two
WBr3 after structural relaxation. Source: the Alexandria database, functional PBEsol.

N(E_F)	5.489	states/eV/cell
calculated density	6.4	g cm⁻³

Unit cell a=4.913 b=13.579 c=3.318 alpha=90.00 beta=90.00 gamma=90.00
Space group Cmmm (No. 65)
Inequivalent atoms, fractional coordinates:
1 W 0.000 0.000 0.000 x2
2 Br 0.000 0.144 0.500 x4
3 Br 0.000 0.500 0.000 x2


Relative stability in meV/atom, measured from the most stable structure: run one 1380; run two 0


Run one
CdTcCl2 after structural relaxation. Source: the Alexandria database, functional PBEsol.

N(E_F)	0.801	states/eV/cell
calculated density	6.4	g cm⁻³

Unit cell a=3.036 b=3.036 c=7.888 alpha=90.00 beta=90.00 gamma=90.00
Space group P4mm (No. 99)
Inequivalent atoms, fractional coordinates:
1 Cd 0.000 0.000 0.000 x1
2 Tc 0.500 0.500 0.732 x1
3 Cl 0.000 0.000 0.586 x1
4 Cl 0.500 0.500 0.219 x1


Run two
CdTcCl2 after structural relaxation. Source: the Alexandria database, functional PBEsol.

N(E_F)	5.575	states/eV/cell
calculated density	5.9	g cm⁻³

Unit cell a=2.927 b=4.326 c=12.404 alpha=90.00 beta=90.00 gamma=90.00
Space group Imm2 (No. 44)
Inequivalent atoms, fractional coordinates:
1 Cd 0.000 0.000 0.000 x2
2 Tc 0.000 0.500 0.305 x2
3 Cl 0.000 0.000 0.653 x2
4 Cl 0.000 0.500 0.825 x2


Relative stability in meV/atom, measured from the most stable structure: run one 0; run two 149


Run one
Cs3YO3 after structural relaxation. Source: the Alexandria database, functional PBEsol.

N(E_F)	0.000	states/eV/cell
calculated density	4.9	g cm⁻³

Unit cell a=8.033 b=7.496 c=12.098 alpha=90.00 beta=94.77 gamma=90.00
Space group P2_1/c (No. 14)
Inequivalent atoms, fractional coordinates:
1 Cs 0.061 0.125 0.159 x4
2 Cs 0.351 0.156 0.924 x4
3 Cs 0.382 0.680 0.810 x4
4 Y 0.156 0.592 0.071 x4
5 O 0.112 0.051 0.414 x4
6 O 0.247 0.647 0.553 x4
7 O 0.292 0.046 0.699 x4


Run two
Cs3YO3 after structural relaxation. Source: the Alexandria database, functional PBEsol.

N(E_F)	0.000	states/eV/cell
calculated density	4.9	g cm⁻³

Unit cell a=7.822 b=12.628 c=7.551 alpha=90.00 beta=100.76 gamma=90.00
Space group C2/m (No. 12)
Inequivalent atoms, fractional coordinates:
1 Cs 0.000 0.212 0.000 x4
2 Cs 0.000 0.262 0.500 x4
3 Cs 0.145 0.500 0.854 x4
4 Y 0.173 0.000 0.653 x4
5 O 0.106 0.000 0.360 x4
6 O 0.198 0.363 0.232 x8


Relative stability in meV/atom, measured from the most stable structure: run one 0; run two 14


Run one
TcAg after structural relaxation. Source: the Alexandria database, functional PBEsol.

N(E_F)	6.650	states/eV/cell
calculated density	11.5	g cm⁻³

Unit cell a=3.941 b=3.941 c=7.688 alpha=90.00 beta=90.00 gamma=90.00
Space group I4_1/amd (No. 141, origin choice 2)
Inequivalent atoms, fractional coordinates:
1 Tc 0.000 0.250 0.375 x4
2 Ag 0.000 0.250 0.875 x4


Run two
TcAg after structural relaxation. Source: the Alexandria database, functional PBEsol.

N(E_F)	2.414	states/eV/cell
calculated density	10.9	g cm⁻³

Unit cell a=2.863 b=2.863 c=7.636 alpha=90.00 beta=90.00 gamma=90.00
Space group P4/nmm (No. 129, origin choice 2)
Inequivalent atoms, fractional coordinates:
1 Tc 0.250 0.250 0.094 x2
2 Ag 0.250 0.250 0.630 x2


Relative stability in meV/atom, measured from the most stable structure: run one 299; run two 0


Run one
Fe3Co4 after structural relaxation. Source: the Alexandria database, functional PBEsol.

N(E_F)	12.514	states/eV/cell
calculated density	8.8	g cm⁻³

Unit cell a=8.346 b=3.929 c=4.642 alpha=90.00 beta=95.55 gamma=90.00
Space group Cm (No. 8)
Inequivalent atoms, fractional coordinates:
1 Fe 0.000 0.000 0.000 x2
2 Fe 0.072 0.500 0.286 x2
3 Fe 0.355 0.500 0.429 x2
4 Co 0.137 0.000 0.575 x2
5 Co 0.216 0.500 0.856 x2
6 Co 0.287 0.000 0.148 x2
7 Co 0.426 0.000 0.714 x2


Run two
Fe3Co4 after structural relaxation. Source: the Alexandria database, functional PBEsol.

N(E_F)	8.677	states/eV/cell
calculated density	8.8	g cm⁻³

Unit cell a=2.793 b=2.793 c=19.464 alpha=90.00 beta=90.00 gamma=90.00
Space group I4/mmm (No. 139)
Inequivalent atoms, fractional coordinates:
1 Fe 0.000 0.000 0.000 x2
2 Fe 0.000 0.000 0.144 x4
3 Co 0.000 0.000 0.288 x4
4 Co 0.000 0.000 0.429 x4


Relative stability in meV/atom, measured from the most stable structure: run one 32; run two 0


Run one
AlCr2Se after structural relaxation. Source: the Alexandria database, functional PBEsol.

N(E_F)	6.446	states/eV/cell
calculated density	6.0	g cm⁻³

Unit cell a=2.985 b=4.442 c=8.800 alpha=90.00 beta=90.00 gamma=90.00
Space group Cmm2 (No. 35)
Inequivalent atoms, fractional coordinates:
1 Al 0.000 0.000 0.000 x2
2 Cr 0.000 0.000 0.566 x2
3 Cr 0.000 0.500 0.763 x2
4 Se 0.000 0.500 0.336 x2


Run two
AlCr2Se after structural relaxation. Source: the Alexandria database, functional PBEsol.

N(E_F)	13.072	states/eV/cell
calculated density	5.5	g cm⁻³

Unit cell a=6.775 b=6.775 c=5.504 alpha=90.00 beta=90.00 gamma=90.00
Space group I-42d (No. 122)
Inequivalent atoms, fractional coordinates:
1 Al 0.000 0.000 0.000 x4
2 Cr 0.215 0.750 0.625 x8
3 Se 0.000 0.000 0.500 x4


Relative stability in meV/atom, measured from the most stable structure: run one 0; run two 212


Run one
MnZn2Tc after structural relaxation. Source: the Alexandria database, functional PBEsol.

N(E_F)	7.706	states/eV/cell
calculated density	9.4	g cm⁻³

Unit cell a=5.859 b=5.859 c=5.859 alpha=90.00 beta=90.00 gamma=90.00
Space group F-43m (No. 216)
Inequivalent atoms, fractional coordinates:
1 Mn 0.000 0.000 0.000 x4
2 Zn 0.000 0.000 0.500 x4
3 Zn 0.250 0.250 0.250 x4
4 Tc 0.250 0.250 0.750 x4


Run two
MnZn2Tc after structural relaxation. Source: the Alexandria database, functional PBEsol.

N(E_F)	1.812	states/eV/cell
calculated density	9.1	g cm⁻³

Unit cell a=2.823 b=2.823 c=6.475 alpha=90.00 beta=90.00 gamma=90.00
Space group P4mm (No. 99)
Inequivalent atoms, fractional coordinates:
1 Mn 0.000 0.000 0.000 x1
2 Zn 0.000 0.000 0.489 x1
3 Zn 0.500 0.500 0.751 x1
4 Tc 0.500 0.500 0.206 x1


Relative stability in meV/atom, measured from the most stable structure: run one 134; run two 0